[1]
KCo3Te5 | OQMD via LeMat-Bulk | GGA-PBE | optimized geometry; crystal system = hexagonal; E_tot = -4.40 eV/atom
1.0
5.8721 0.0000 0.0000
-2.9360 5.0854 0.0000
0.0000 0.0000 7.8144
K Co Te
1 3 5
Direct
0.0000 0.0000 0.0000
0.0000 0.5000 0.5000
0.5000 0.0000 0.5000
0.5000 0.5000 0.5000
0.0000 0.0000 0.5000
0.3333 0.6667 0.2622
0.3333 0.6667 0.7378
0.6667 0.3333 0.2622
0.6667 0.3333 0.7378

---

[2]
KZnCoTe3 | OQMD via LeMat-Bulk | GGA-PBE | optimized geometry; crystal system = orthorhombic; E_tot = -3.47 eV/atom
1.0
2.0030 -7.7020 0.0000
2.0030 7.7020 0.0000
0.0000 0.0000 10.7295
K Zn Co Te
2 2 2 6
Direct
0.2390 0.7610 0.7500
0.7610 0.2390 0.2500
0.4562 0.5438 0.2500
0.5438 0.4562 0.7500
0.0000 0.0000 0.0000
0.0000 0.0000 0.5000
0.0667 0.9333 0.2500
0.3896 0.6104 0.0264
0.3896 0.6104 0.4736
0.6104 0.3896 0.5264
0.6104 0.3896 0.9736
0.9333 0.0667 0.7500

---

[3]
KZrCoTe3 | OQMD via LeMat-Bulk | GGA-PBE | optimized geometry; crystal system = orthorhombic; E_tot = -5.07 eV/atom; ΔE to the lowest computed polymorph = 0 meV per atom
1.0
1.9914 -8.2586 0.0000
1.9914 8.2586 0.0000
0.0000 0.0000 10.5906
K Zr Co Te
2 2 2 6
Direct
0.2478 0.7522 0.7500
0.7522 0.2478 0.2500
0.5000 0.5000 0.0000
0.5000 0.5000 0.5000
0.0244 0.9756 0.2500
0.9756 0.0244 0.7500
0.1231 0.8769 0.0641
0.1231 0.8769 0.4359
0.4268 0.5732 0.2500
0.5732 0.4268 0.7500
0.8769 0.1231 0.5641
0.8769 0.1231 0.9359

---

[4]
KZrCoTe3 | OQMD via LeMat-Bulk | GGA-PBE | optimized geometry; crystal system = orthorhombic; E_tot = -5.06 eV/atom; ΔE to the lowest computed polymorph = 8 meV per atom
1.0
1.9699 -8.5460 0.0000
1.9699 8.5460 0.0000
0.0000 0.0000 10.2854
K Zr Co Te
2 2 2 6
Direct
0.2465 0.7535 0.7500
0.7535 0.2465 0.2500
0.5000 0.5000 0.0000
0.5000 0.5000 0.5000
0.0152 0.9848 0.2500
0.9848 0.0152 0.7500
0.1181 0.8819 0.0750
0.1181 0.8819 0.4250
0.4220 0.5780 0.2500
0.5780 0.4220 0.7500
0.8819 0.1181 0.5750
0.8819 0.1181 0.9250

---

[5]
KThCo | OQMD via LeMat-Bulk | GGA-PBE | optimized geometry; crystal system = cubic; E_tot = -4.34 eV/atom; ΔE to the lowest computed polymorph = 0 meV per atom
1.0
0.0000 3.4536 3.4536
3.4536 0.0000 3.4536
3.4536 3.4536 0.0000
K Th Co
1 1 1
Direct
0.0000 0.0000 0.0000
0.5000 0.5000 0.5000
0.2500 0.2500 0.2500

---

[6]
KTlCo | OQMD via LeMat-Bulk | GGA-PBE | optimized geometry; crystal system = cubic; E_tot = -2.71 eV/atom; ΔE to the lowest computed polymorph = 0 meV per atom
1.0
0.0000 3.4885 3.4885
3.4885 0.0000 3.4885
3.4885 3.4885 0.0000
K Tl Co
1 1 1
Direct
0.0000 0.0000 0.0000
0.5000 0.5000 0.5000
0.2500 0.2500 0.2500

---

[7]
KCoW | OQMD via LeMat-Bulk | GGA-PBE | optimized geometry; crystal system = cubic; E_tot = -3.79 eV/atom; ΔE to the lowest computed polymorph = 1144 meV per atom
1.0
0.0000 3.4132 3.4132
3.4132 0.0000 3.4132
3.4132 3.4132 0.0000
K Co W
1 1 1
Direct
0.0000 0.0000 0.0000
0.7500 0.7500 0.7500
0.2500 0.2500 0.2500

---

[8]
KCoW | OQMD via LeMat-Bulk | GGA-PBE | optimized geometry; crystal system = cubic; E_tot = -4.93 eV/atom; ΔE to the lowest computed polymorph = 0 meV per atom
1.0
0.0000 3.1360 3.1360
3.1360 0.0000 3.1360
3.1360 3.1360 0.0000
K Co W
1 1 1
Direct
0.0000 0.0000 0.0000
0.2500 0.2500 0.2500
0.5000 0.5000 0.5000

---

[9]
LaCo5 | OQMD via LeMat-Bulk | GGA-PBE | optimized geometry; crystal system = orthorhombic; energy of formation from the pure elements = -0.0194 eV per atom; E_tot = -6.76 eV/atom
1.0
2.5223 -4.3276 0.0000
2.5223 4.3276 0.0000
0.0000 0.0000 7.8512
La Co
2 10
Direct
0.0000 0.0000 0.0000
0.0000 0.0000 0.5000
0.0000 0.5000 0.2605
0.0000 0.5000 0.7395
0.3052 0.6292 0.0000
0.3708 0.6948 0.5000
0.5000 0.0000 0.2395
0.5000 0.0000 0.7605
0.5000 0.5000 0.2500
0.5000 0.5000 0.7500
0.6292 0.3052 0.5000
0.6948 0.3708 0.0000

---

[10]
La3Co | OQMD via LeMat-Bulk | GGA-PBE | optimized geometry; crystal system = orthorhombic; energy of formation from the pure elements = -0.1112 eV per atom; E_tot = -5.58 eV/atom
1.0
7.0955 0.0000 0.0000
0.0000 10.0894 0.0000
0.0000 0.0000 6.5612
La Co
12 4
Direct
0.0568 0.2500 0.1443
0.1601 0.0715 0.6715
0.1601 0.4285 0.6715
0.3399 0.5715 0.1715
0.3399 0.9285 0.1715
0.4432 0.7500 0.6443
0.5568 0.2500 0.3557
0.6601 0.0715 0.8285
0.6601 0.4285 0.8285
0.8399 0.5715 0.3285
0.8399 0.9285 0.3285
0.9432 0.7500 0.8557
0.1203 0.7500 0.4340
0.3797 0.2500 0.9340
0.6203 0.7500 0.0660
0.8797 0.2500 0.5660

---

[11]
LaCo3 | OQMD via LeMat-Bulk | GGA-PBE | optimized geometry; crystal system = tetragonal; energy of formation from the pure elements = 0.3805 eV per atom; E_tot = -6.18 eV/atom
1.0
-2.0026 2.0026 3.7486
2.0026 -2.0026 3.7486
2.0026 2.0026 -3.7486
La Co
1 3
Direct
0.0000 0.0000 0.0000
0.2500 0.7500 0.5000
0.5000 0.5000 0.0000
0.7500 0.2500 0.5000

---

[12]
La2Co | OQMD via LeMat-Bulk | GGA-PBE | optimized geometry; crystal system = cubic; energy of formation from the pure elements = 1.1171 eV per atom; E_tot = -4.53 eV/atom
1.0
0.0000 4.2984 4.2984
4.2984 0.0000 4.2984
4.2984 4.2984 0.0000
La Co
4 2
Direct
0.0000 0.0000 0.0000
0.0000 0.0000 0.5000
0.0000 0.5000 0.0000
0.5000 0.0000 0.0000
0.3750 0.3750 0.3750
0.6250 0.6250 0.6250

---

E_tot of number 4 (KZrCoTe3)?
-5.06 eV/atom

---

Among the records above, which one has the lowest E_tot?
LaCo5

---

Which formula does entry 8 have?
KCoW